Computed, not measured: a relaxed structure of Pr2CuNiO6 at the GGA+U level of DFT.

a = 5.4428 Å, b = 5.7273 Å, c = 9.3874 Å
α = 90.00°, β = 125.20°, γ = 90.00°
Positions (direct):
Pr 0.2353 0.0628 0.2501
Pr 0.2353 0.4372 0.7501
Pr 0.7647 0.5628 0.2499
Pr 0.7647 0.9372 0.7499
Cu 0.5000 0.0000 0.0000
Cu 0.5000 0.5000 0.5000
Ni 0.0000 0.0000 0.5000
Ni 0.0000 0.5000 0.0000
O 0.1732 0.1974 0.9594
O 0.1732 0.3026 0.4594
O 0.2432 0.6990 0.9566
O 0.2432 0.8010 0.4566
O 0.3378 0.0164 0.7572
O 0.3378 0.4836 0.2572
O 0.6622 0.5164 0.7428
O 0.6622 0.9836 0.2428
O 0.7568 0.1990 0.5434
O 0.7568 0.3010 0.0434
O 0.8268 0.6974 0.5406
O 0.8268 0.8026 0.0406

Output
The volume comes out at 239.13 Å³/cell. Its density of states at the Fermi level is 1.6 states/eV/f.u. Its electronic total energy is -6.59 eV/atom.